Here is a relaxed structure of NaLiNiRh2 from the Alexandria database. Energies are from PBE.

**Fermi-level density of states**: 6.03 states/eV/cell
**Formation energy from the elements**: 4.18 eV per formula unit
**V**: 73.9 Å³ per cell
**DFT total energy**: -3.91 eV/atom

Cell: 4.2512 4.2512 4.0866 Å, 90.00 90.00 90.00°
Closest atoms and distances in Å follow each position.
Space group P4/mmm (No. 123)
Asymmetric unit:
Na1 0.0000 0.0000 0.0000  2 Li 2.04
Li1 0.0000 0.0000 0.5000  2 Na 2.04, 4 Rh 2.13
Ni1 0.5000 0.5000 0.0000  8 Rh 2.95, 4 Na 3.01
Rh1 0.0000 0.5000 0.5000  2 Li 2.13

=====

Here is a relaxed structure of BeCoTc2 from the Alexandria database. Energies are from PBE.

**Fermi-level density of states**: 7.31 states/eV/cell
**Formation energy from the elements**: 0.50 eV per formula unit
**V**: 99.7 Å³ per cell
**DFT total energy**: -7.77 eV/atom

Cell: 8.5435 2.6572 4.4653 Å, 90.00 100.56 90.00°
Closest atoms and distances in Å follow each position.
Space group C2/m (No. 12)
Asymmetric unit:
Be1 0.0000 0.0000 0.0000  6 Tc 2.55-2.62, 4 Co 2.60, 2 Be 2.66
Co1 0.0000 0.5000 0.5000  6 Tc 2.56-2.62, 4 Be 2.60, 2 Co 2.66
Tc1 0.2450 0.0000 0.7499  3 Be 2.55-2.62, 3 Co 2.56-2.62, 6 Tc 2.59-2.66

=====

Here is a relaxed structure of TbPuTeSe2 from the Alexandria database. Energies are from PBE.

**Fermi-level density of states**: 29.17 states/eV/cell
**V**: 292.6 Å³ per cell
**DFT total energy**: -6.97 eV/atom

Cell: 4.5596 4.5596 14.0756 Å, 90.00 90.00 90.00°
Closest atoms and distances in Å follow each position.
Space group I4mm (No. 107)
Asymmetric unit:
Tb1 0.0000 0.0000 0.0000  4 Se 2.80
Pu1 0.0000 0.0000 0.2626  4 Se 2.86
Te1 0.0000 0.0000 0.6349  4 Pu 3.69, 4 Tb 3.74
Se1 0.0000 0.5000 0.3847  2 Tb 2.80, 2 Pu 2.86

=====

Q: Which of these has the lowest Fermi-level density of states?
A: NaLiNiRh2

=====

Q: Among the records above, which one has the highest V?
A: TbPuTeSe2

=====

What did the second record say?
Here is a relaxed structure of BeCoTc2 from the Alexandria database. Energies are from PBE.

**Fermi-level density of states**: 7.31 states/eV/cell
**Formation energy from the elements**: 0.50 eV per formula unit
**V**: 99.7 Å³ per cell
**DFT total energy**: -7.77 eV/atom

Cell: 8.5435 2.6572 4.4653 Å, 90.00 100.56 90.00°
Closest atoms and distances in Å follow each position.
Space group C2/m (No. 12)
Asymmetric unit:
Be1 0.0000 0.0000 0.0000  6 Tc 2.55-2.62, 4 Co 2.60, 2 Be 2.66
Co1 0.0000 0.5000 0.5000  6 Tc 2.56-2.62, 4 Be 2.60, 2 Co 2.66
Tc1 0.2450 0.0000 0.7499  3 Be 2.55-2.62, 3 Co 2.56-2.62, 6 Tc 2.59-2.66